# Ru2AuBr

A geometry-optimized Ru2AuBr structure (PBE, the Alexandria database).

The structure in POSCAR format:
```
Ru2AuBr
1.0
5.539 0.021 0.168
4.785 2.791 0.168
1.707 0.465 4.570
Ru Br Au
2 1 1
Direct
0.992 0.992 0.034
0.277 0.277 0.160
0.719 0.719 0.795
0.512 0.512 0.512
```

Properties
energy relative to the lowest polymorph listed for this composition: 0.3785 eV per atom
VASP energy: -5.11 eV/atom


# RuAuBr2

A geometry-optimized RuAuBr2 structure (PBE, the Alexandria database).

The structure in POSCAR format:
```
RuAuBr2
1.0
-2.111 -2.319 -0.794
0.189 -1.198 2.999
-6.632 5.186 2.489
Br Ru Au
2 1 1
Direct
0.500 0.500 0.334
0.000 0.000 0.931
0.000 0.000 0.520
0.500 0.500 0.715
```

Properties
energy relative to the lowest polymorph listed for this composition: 0.2990 eV per atom
VASP energy: -3.48 eV/atom


# RuAuBr2

A geometry-optimized RuAuBr2 structure (PBE, the Alexandria database).

The structure in POSCAR format:
```
RuAuBr2
1.0
3.360 0.000 0.000
0.000 6.466 0.000
0.000 0.000 4.215
Br Ru Au
2 1 1
Direct
0.000 0.000 0.000
0.500 0.500 0.000
0.500 0.000 0.500
0.000 0.500 0.500
```

Properties
energy relative to the lowest polymorph listed for this composition: 0.5547 eV per atom
VASP energy: -3.23 eV/atom


# Ru2AuBr

A geometry-optimized Ru2AuBr structure (PBE, the Alexandria database).

The structure in POSCAR format:
```
Ru2AuBr
1.0
2.875 0.000 0.000
0.000 5.068 0.000
0.000 0.000 4.684
Au Ru Br
1 2 1
Direct
0.500 0.000 0.500
0.000 0.000 0.000
0.500 0.500 0.000
0.000 0.500 0.500
```

Properties
energy relative to the lowest polymorph listed for this composition: 0.6346 eV per atom
VASP energy: -4.85 eV/atom


# RuAu2Br

A geometry-optimized RuAu2Br structure (PBE, the Alexandria database).

The structure in POSCAR format:
```
RuAu2Br
1.0
-1.249 2.073 -1.467
-1.132 -0.543 2.537
6.771 7.328 4.590
Au Ru Br
2 1 1
Direct
0.000 0.000 0.536
0.000 0.000 0.964
0.500 0.500 0.750
0.500 0.500 0.250
```

Properties
energy relative to the lowest polymorph listed for this composition: 0.1676 eV per atom
VASP energy: -3.80 eV/atom


# RuAuBr2

A geometry-optimized RuAuBr2 structure (PBE, the Alexandria database).

The structure in POSCAR format:
```
RuAuBr2
1.0
9.444 0.024 0.014
8.763 3.520 0.014
8.763 1.706 3.079
Ru Br Au
1 2 1
Direct
0.250 0.250 0.250
0.531 0.531 0.531
0.969 0.969 0.969
0.750 0.750 0.750
```

Properties
energy relative to the lowest polymorph listed for this composition: 0.2004 eV per atom
VASP energy: -3.58 eV/atom


# RuAu2Br

A geometry-optimized RuAu2Br structure (PBE, the Alexandria database).

The structure in POSCAR format:
```
RuAu2Br
1.0
-2.392 0.083 10.124
-0.415 -2.089 10.183
0.468 0.707 10.369
Ru Au Br
1 2 1
Direct
0.750 0.750 0.750
0.010 0.010 0.010
0.490 0.490 0.490
0.250 0.250 0.250
```

Properties
energy relative to the lowest polymorph listed for this composition: 0.1462 eV per atom
VASP energy: -3.82 eV/atom


# Ru2AuBr

A geometry-optimized Ru2AuBr structure (PBE, the Alexandria database).

The structure in POSCAR format:
```
Ru2AuBr
1.0
4.467 -0.181 -0.004
0.941 4.371 -0.004
-2.704 -2.094 3.426
Au Ru Br
1 2 1
Direct
0.500 0.500 0.000
0.250 0.750 0.500
0.000 0.000 0.000
0.750 0.250 0.500
```

Properties
energy relative to the lowest polymorph listed for this composition: 0.6557 eV per atom
VASP energy: -4.83 eV/atom


# Ru2AuBr

A geometry-optimized Ru2AuBr structure (PBE, the Alexandria database).

The structure in POSCAR format:
```
Ru2AuBr
1.0
2.921 0.000 0.000
0.000 2.921 0.000
0.000 0.000 8.564
Ru Br Au
2 1 1
Direct
0.500 0.500 0.213
0.000 0.000 0.030
0.500 0.500 0.810
0.000 0.000 0.448
```

Properties
energy relative to the lowest polymorph listed for this composition: 0.0503 eV per atom
VASP energy: -5.44 eV/atom


# RuAu2Br

A geometry-optimized RuAu2Br structure (PBE, the Alexandria database).

The structure in POSCAR format:
```
RuAu2Br
1.0
-1.068 1.535 -6.797
-0.032 -3.717 -5.990
-2.076 1.738 6.509
Br Ru Au
1 1 2
Direct
0.422 0.422 0.000
0.268 0.768 0.500
0.087 0.087 0.000
0.722 0.222 0.500
```

Properties
energy relative to the lowest polymorph listed for this composition: 0.0132 eV per atom
VASP energy: -3.96 eV/atom


# Ru2AuBr

A geometry-optimized Ru2AuBr structure (PBE, the Alexandria database).

The structure in POSCAR format:
```
Ru2AuBr
1.0
3.914 0.000 0.000
0.000 2.964 0.005
0.000 -0.009 5.868
Ru Au Br
2 1 1
Direct
0.000 0.750 0.018
0.000 0.750 0.482
0.500 0.250 0.250
0.500 0.750 0.750
```

Properties
energy relative to the lowest polymorph listed for this composition: 0.3733 eV per atom
VASP energy: -5.11 eV/atom


# RuAuBr2

A geometry-optimized RuAuBr2 structure (PBE, the Alexandria database).

The structure in POSCAR format:
```
RuAuBr2
1.0
-2.756 -1.500 0.786
2.847 -0.647 1.392
-1.928 7.413 7.388
Au Ru Br
1 1 2
Direct
0.500 0.500 0.750
0.500 0.500 0.250
0.000 0.000 0.064
0.000 0.000 0.436
```

Properties
energy relative to the lowest polymorph listed for this composition: 0.3437 eV per atom
VASP energy: -3.44 eV/atom


| no. | ΔE_f (raw) (meV per atom) |
| --- | --- |
| 1 | 767 |
| 2 | 493 |
| 3 | 748 |
| 4 | 1023 |
| 5 | 575 |
| 6 | 394 |
| 7 | 554 |
| 8 | 1044 |
| 9 | 438 |
| 10 | 421 |
| 11 | 761 |
| 12 | 537 |